Material: BaMo3Cl
Method: DFT, PBE-GGA
State: optimized geometry

The structure in CIF format:
```
data_BaMo3Cl
_cell_length_a 4.6896
_cell_length_b 4.6896
_cell_length_c 4.6896
_cell_angle_alpha 90.00
_cell_angle_beta 90.00
_cell_angle_gamma 90.00
_space_group_name_H-M_alt 'P m -3 m'
_space_group_IT_number 221
_space_group_name_Hall '-P 4 2 3'
loop_
_atom_site_label
_atom_site_type_symbol
_atom_site_fract_x
_atom_site_fract_y
_atom_site_fract_z
Ba1 Ba 0.0000 0.0000 0.0000
Mo1 Mo 0.0000 0.5000 0.5000
Cl1 Cl 0.5000 0.5000 0.5000
```

Values from the calculation:
Excess energy over the best structure of this formula in the dataset = 0.00 eV per formula unit
Magnetic moment = 1.23 μB per formula unit
Formation energy (no corrections) = 6.75 eV/f.u.

=====

Material: BaMo2Cl
Method: DFT, PBE-GGA
State: optimized geometry

The structure in CIF format:
```
data_BaMo2Cl
_cell_length_a 3.0098
_cell_length_b 3.0098
_cell_length_c 9.1730
_cell_angle_alpha 90.00
_cell_angle_beta 90.00
_cell_angle_gamma 90.00
_space_group_name_H-M_alt 'P 4/m m m'
_space_group_IT_number 123
_space_group_name_Hall '-P 4 2'
loop_
_atom_site_label
_atom_site_type_symbol
_atom_site_fract_x
_atom_site_fract_y
_atom_site_fract_z
Ba1 Ba 0.0000 0.0000 0.0000
Mo1 Mo 0.5000 0.5000 0.3173
Cl1 Cl 0.0000 0.0000 0.5000
```

Values from the calculation:
Excess energy over the best structure of this formula in the dataset = 4.95 eV per formula unit
Magnetic moment = 0.00 μB per formula unit
Formation energy (no corrections) = 5.05 eV/f.u.

=====

Material: Ba2MoCl
Method: DFT, PBE-GGA
State: optimized geometry

The structure in CIF format:
```
data_Ba2MoCl
_cell_length_a 8.5118
_cell_length_b 8.5118
_cell_length_c 9.0176
_cell_angle_alpha 90.00
_cell_angle_beta 90.00
_cell_angle_gamma 90.00
_space_group_name_H-M_alt 'I -4 2 d'
_space_group_IT_number 122
_space_group_name_Hall 'I -4 2bw'
loop_
_atom_site_label
_atom_site_type_symbol
_atom_site_fract_x
_atom_site_fract_y
_atom_site_fract_z
Ba1 Ba 0.2319 0.2500 0.1250
Mo1 Mo 0.0000 0.0000 0.5000
Cl1 Cl 0.0000 0.0000 0.0000
```

Values from the calculation:
Excess energy over the best structure of this formula in the dataset = 0.89 eV per formula unit
Magnetic moment = 3.70 μB per formula unit
Formation energy (no corrections) = 0.66 eV/f.u.

=====

Material: BaMoCl4
Method: DFT, PBE-GGA
State: optimized geometry

The structure in CIF format:
```
data_BaMoCl4
_cell_length_a 8.6723
_cell_length_b 8.6723
_cell_length_c 8.6723
_cell_angle_alpha 90.00
_cell_angle_beta 90.00
_cell_angle_gamma 90.00
_space_group_name_H-M_alt 'F -4 3 m'
_space_group_IT_number 216
_space_group_name_Hall 'F -4 2 3'
loop_
_atom_site_label
_atom_site_type_symbol
_atom_site_fract_x
_atom_site_fract_y
_atom_site_fract_z
Ba1 Ba 0.0000 0.0000 0.0000
Mo1 Mo 0.2500 0.2500 0.2500
Cl1 Cl 0.1247 0.1247 0.6247
```

Values from the calculation:
Magnetic moment = 6.10 μB per formula unit
Formation energy (no corrections) = -0.12 eV/f.u.

=====

Q: Look up the magnetic moment of the fourth one.
A: 6.10 μB per formula unit

=====

Q: Which of these has the lowest formation energy (no corrections)?
A: BaMoCl4

=====

Q: Among the records above, which one has the lowest formation energy (no corrections)?
A: BaMoCl4

=====

Q: The lowest formation energy (no corrections) belongs to which entry?
A: BaMoCl4